[1]
First-principles (PBE) data for a relaxed structure of IrRh2Se, as listed in Alexandria via LeMat-Bulk.

* uncorrected energy: -26.4 eV per formula unit
* E_form (uncorrected): 158 meV per atom
* total magnetic moment: 0.000 μB per atom

abc: 2.8642 2.8642 7.3311
angles: 90.00 90.00 90.00
Space group P4/mmm (No. 123)
Asymmetric unit:
Ir: 0.0000 0.0000 0.0000
Rh: 0.5000 0.5000 0.2506
Se: 0.0000 0.0000 0.5000

---

[2]
First-principles (PBE) data for a relaxed structure of IrRhSe2, as listed in Alexandria via LeMat-Bulk.

* uncorrected energy: -20.5 eV per formula unit
* E_form (uncorrected): 675 meV per atom
* total magnetic moment: 0.000 μB per atom

abc: 6.4218 6.4218 6.4218
angles: 90.00 90.00 90.00
Space group F-43m (No. 216)
Asymmetric unit:
Ir: 0.0000 0.0000 0.0000
Rh: 0.2500 0.2500 0.2500
Se: 0.0000 0.0000 0.5000
Se: 0.2500 0.2500 0.7500

---

[3]
First-principles (PBE) data for a relaxed structure of IrRhSe4, as listed in Alexandria via LeMat-Bulk.

* uncorrected energy: -30.9 eV per formula unit
* E_form (uncorrected): -120 meV per atom
* total magnetic moment: 0.001 μB per atom
* E above lowest polymorph: 0 meV per atom

abc: 8.0496 8.0496 7.8687
angles: 90.00 90.00 90.00
Space group I4_1md (No. 109)
Asymmetric unit:
Ir: 0.0000 0.0000 0.0000
Rh: 0.0000 0.0000 0.4967
Se: 0.0000 0.3077 0.4982
Se: 0.0000 0.3083 0.9988

---

[4]
First-principles (PBE) data for a relaxed structure of IrRh2Se, as listed in Alexandria via LeMat-Bulk.

* uncorrected energy: -26.3 eV per formula unit
* E_form (uncorrected): 189 meV per atom
* total magnetic moment: 0.001 μB per atom

abc: 4.0076 2.8918 10.4492
angles: 90.00 90.00 90.00
Space group Amm2 (No. 38)
Asymmetric unit:
Ir: 0.0000 0.0000 0.0000
Rh: 0.0000 0.0000 0.2584
Rh: 0.5000 0.0000 0.6161
Se: 0.5000 0.0000 0.8525

---

[5]
First-principles (PBE) data for a relaxed structure of IrRh2Se, as listed in Alexandria via LeMat-Bulk.

* uncorrected energy: -26.4 eV per formula unit
* E_form (uncorrected): 174 meV per atom
* total magnetic moment: 0.138 μB per atom

abc: 2.8630 2.8630 25.3140
angles: 90.00 90.00 120.00
Space group R-3m (No. 166, hexagonal axes)
Asymmetric unit:
Ir: 0.0000 0.0000 0.0000
Rh: 0.0000 0.0000 0.2466
Se: 0.0000 0.0000 0.5000

---

[6]
First-principles (PBE) data for a relaxed structure of IrRhSe2, as listed in Alexandria via LeMat-Bulk.

* uncorrected energy: -22.4 eV per formula unit
* E_form (uncorrected): 204 meV per atom
* total magnetic moment: 0.000 μB per atom

abc: 3.1403 3.1403 23.0726
angles: 90.00 90.00 120.00
Space group R-3m (No. 166, hexagonal axes)
Asymmetric unit:
Ir: 0.0000 0.0000 0.0000
Rh: 0.0000 0.0000 0.5000
Se: 0.0000 0.0000 0.2498

---

[7]
First-principles (PBE) data for a relaxed structure of IrRhSe2, as listed in Alexandria via LeMat-Bulk.

* uncorrected energy: -21.2 eV per formula unit
* E_form (uncorrected): 490 meV per atom
* total magnetic moment: 0.000 μB per atom

abc: 2.8999 5.1176 8.8385
angles: 90.00 90.00 90.00
Space group Cmmm (No. 65)
Asymmetric unit:
Ir: 0.0000 0.0000 0.0000
Rh: 0.0000 0.0000 0.5000
Se: 0.0000 0.5000 0.2522

---

[8]
First-principles (PBE) data for a relaxed structure of Ir4RhSe, as listed in Alexandria via LeMat-Bulk.

* uncorrected energy: -41.5 eV per formula unit
* E_form (uncorrected): 796 meV per atom
* total magnetic moment: 0.000 μB per atom

abc: 7.3389 7.3389 7.3389
angles: 90.00 90.00 90.00
Space group F-43m (No. 216)
Asymmetric unit:
Ir: 0.1245 0.1245 0.1245
Rh: 0.2500 0.2500 0.7500
Se: 0.0000 0.0000 0.5000